DFT (PBE-GGA) results for crystalline Cd2TePb2 at its relaxed geometry.

relative energy among the computed polymorphs: 0.0 meV per atom
formation energy (no corrections): 0.016 eV per atom

abc: 4.204 4.204 9.067
angles: 76.59 76.59 90.00
Fractional positions:
Pb1 0.597 0.597 0.807
Pb2 0.403 0.403 0.193
Cd1 0.750 0.250 0.500
Cd2 0.250 0.750 0.500
Te1 0.000 0.000 0.000